First-principles (PBE) data for crystalline ZrVRu at its relaxed geometry, as listed in the Alexandria database.

abc: 5.5005 5.5005 5.5005
angles: 147.02 147.02 47.34
Atoms (fractional coordinates):
Zr 0.0000 0.0000 0.0000
V 0.3185 0.3185 0.0000
Ru 0.6792 0.6792 0.0000

Computed properties:
- calculated formation energy (eV/atom) = -0.2675
- excess energy over the best structure of this formula in the dataset (eV/atom) = 0.1392
- DOS at the Fermi energy (states/eV/f.u.) = 1.994
- space group = I4mm
- ρ (g/cm3) = 8.2